A geometry-optimized Ga2HgRu2 structure. Source: Alexandria via LeMat-Bulk, functional PBE-GGA.

POSCAR file:
```
Ga2HgRu2
1.0
-3.234 -1.004 6.352
1.054 -7.097 -0.585
2.711 0.285 1.425
Ru Ga Hg
4 4 2
direct
0.656 0.844 0.500
0.344 0.156 0.500
0.844 0.344 0.500
0.156 0.656 0.500
0.136 0.364 0.000
0.864 0.636 0.000
0.364 0.864 0.000
0.636 0.136 0.000
0.000 0.000 0.000
0.500 0.500 0.000
```

Results
Formation energy in eV/atom: 0.01
Symmetry: P4/mbm (127)
Uncorrected energy in eV per cell: -49.71
Total magnetization in μB per formula unit: 0.000
ΔE to the lowest computed polymorph in eV per atom: 0.082

=====

A geometry-optimized GaHgRu2 structure. Source: Alexandria via LeMat-Bulk, functional PBE-GGA.

POSCAR file:
```
GaHgRu2
1.0
-1.121 3.709 0.992
-3.666 -0.726 -1.424
-5.039 -1.545 8.142
Ru Hg Ga
4 2 2
direct
0.375 0.463 0.750
0.537 0.125 0.250
0.875 0.787 0.750
0.213 0.625 0.250
0.750 0.250 0.500
0.000 0.000 0.000
0.500 0.500 0.000
0.250 0.750 0.500
```

Results
Formation energy in eV/atom: 0.56
Symmetry: I-42d (122)
Uncorrected energy in eV per cell: -39.25
Total magnetization in μB per formula unit: 0.250
ΔE to the lowest computed polymorph in eV per atom: 0.257

=====

A geometry-optimized GaHgRu2 structure. Source: Alexandria via LeMat-Bulk, functional PBE-GGA.

POSCAR file:
```
GaHgRu2
1.0
-0.585 -3.304 -2.987
-3.691 -0.086 -2.560
0.296 0.869 -4.397
Ga Ru Hg
1 2 1
direct
0.000 0.000 0.000
0.250 0.250 0.250
0.750 0.750 0.750
0.500 0.500 0.500
```

Results
Formation energy in eV/atom: 0.31
Symmetry: Fm-3m (225)
Uncorrected energy in eV per cell: -20.65
Total magnetization in μB per formula unit: 1.100
ΔE to the lowest computed polymorph in eV per atom: 0.000

=====

A geometry-optimized GaHgRu3 structure. Source: Alexandria via LeMat-Bulk, functional PBE-GGA.

POSCAR file:
```
GaHgRu3
1.0
-2.210 -1.437 -3.761
2.169 -4.039 0.269
-3.392 -1.647 2.623
Ru Hg Ga
3 1 1
direct
0.000 0.000 0.500
0.500 0.000 0.000
0.000 0.500 0.000
0.500 0.500 0.500
0.000 0.000 0.000
```

Results
Formation energy in eV/atom: 1.22
Symmetry: Pm-3m (221)
Uncorrected energy in eV per cell: -25.06
Total magnetization in μB per formula unit: 4.809
ΔE to the lowest computed polymorph in eV per atom: 0.000

=====

A geometry-optimized GaHg3Ru structure. Source: Alexandria via LeMat-Bulk, functional PBE-GGA.

POSCAR file:
```
GaHg3Ru
1.0
-5.020 0.475 0.843
-0.903 -3.900 -3.179
0.347 -3.271 3.914
Ga Ru Hg
1 1 3
direct
0.000 0.000 0.000
0.500 0.500 0.500
0.000 0.500 0.000
0.500 0.000 0.000
0.000 0.000 0.500
```

Results
Formation energy in eV/atom: 1.06
Symmetry: Pm-3m (221)
Uncorrected energy in eV per cell: -7.93
Total magnetization in μB per formula unit: 2.804
ΔE to the lowest computed polymorph in eV per atom: 0.510

=====

A geometry-optimized Ga2SnHgRu structure. Source: Alexandria via LeMat-Bulk, functional PBE-GGA.

POSCAR file:
```
Ga2SnHgRu
1.0
4.872 0.000 0.000
0.000 4.872 0.000
0.000 0.000 5.124
Ga Sn Hg Ru
2 1 1 1
direct
0.000 0.500 0.000
0.500 0.000 0.000
0.000 0.000 0.500
0.500 0.500 0.500
0.000 0.000 0.000
```

Results
Formation energy in eV/atom: -0.09
Symmetry: P4/mmm (123)
Uncorrected energy in eV per cell: -20.08
Total magnetization in μB per formula unit: 0.000